A.
# Li4Pm3Tl4

A relaxed structure of Li4Pm3Tl4 (PBE, Alexandria via LeMat-Bulk).

extended XYZ file:
```
11
Lattice="-2.4001 3.6949 7.6319 2.4001 -3.6949 7.6319 2.4001 3.6949 -7.6319" Properties=species:S:1:pos:R:3 pbc="T T T"
Li 2.4001 -2.3243 4.9706
Li 0.0000 1.3706 2.6613
Li 2.4001 2.3243 4.9706
Li 0.0000 6.0193 2.6613
Pm 2.4001 0.0000 0.0000
Pm 0.0000 0.0000 5.7920
Pm 0.0000 0.0000 9.4718
Tl 2.4001 0.0000 3.3624
Tl 0.0000 2.1500 0.0000
Tl 0.0000 5.2399 0.0000
Tl 0.0000 3.6949 4.2695
```

B.
# Li4Pm3Tl4

A relaxed structure of Li4Pm3Tl4 (PBE, Alexandria via LeMat-Bulk).

extended XYZ file:
```
11
Lattice="3.5487 0.0000 0.0000 0.0006 4.9677 0.0000 1.7737 2.4736 15.4888" Properties=species:S:1:pos:R:3 pbc="T T T"
Li 0.8842 1.2357 4.8581
Li 0.8845 3.7239 0.2941
Li 4.4385 3.7175 15.1947
Li 4.4388 6.2056 10.6308
Pm 2.6621 3.7216 12.1933
Pm 2.6612 1.2368 7.7444
Pm 2.6609 3.7197 3.2955
Tl 0.8866 3.7193 6.1578
Tl 0.8878 1.2359 2.0065
Tl 4.4352 6.2055 13.4823
Tl 4.4364 3.7221 9.3310
```

Which structure is the most stable? The one labeled B.

A.
# Li2PmTl2

A relaxed structure of Li2PmTl2 (PBE, Alexandria via LeMat-Bulk).

extended XYZ file:
```
5
Lattice="4.1326 -2.3815 0.0000 4.1326 2.3815 0.0000 -2.7869 0.0000 6.2940" Properties=species:S:1:pos:R:3 pbc="T T T"
Li 1.3711 0.0000 0.4904
Li 4.1072 0.0000 5.8036
Pm -1.3934 0.0000 3.1470
Tl 1.3602 0.0000 4.8063
Tl 4.1181 0.0000 1.4877
```

B.
# Li2PmTl2

A relaxed structure of Li2PmTl2 (PBE, Alexandria via LeMat-Bulk).

extended XYZ file:
```
10
Lattice="5.1525 0.0000 0.0000 0.0000 4.9456 0.0000 -2.4603 0.0000 9.6324" Properties=species:S:1:pos:R:3 pbc="T T T"
Li 0.0662 1.2364 0.7298
Li 0.0359 3.7092 2.8847
Li 2.6563 1.2364 6.7477
Li 2.6260 3.7092 8.9026
Pm 0.0671 3.7092 6.7310
Pm 2.6251 1.2364 2.9014
Tl 0.0526 1.2364 4.6450
Tl 0.1612 1.2364 8.7248
Tl 2.5310 3.7092 0.9076
Tl 2.6396 3.7092 4.9874
```

Which structure is the most stable? The one labeled B.

A.
# LiPm6Tl5

A relaxed structure of LiPm6Tl5 (PBE, Alexandria via LeMat-Bulk).

extended XYZ file:
```
12
Lattice="2.7385 -8.2627 0.0000 2.7385 8.2627 0.0000 0.0000 0.0000 7.6787" Properties=species:S:1:pos:R:3 pbc="T T T"
Li 0.0000 0.0000 0.0000
Pm 2.7385 5.4799 1.8925
Pm 2.7385 5.4799 5.7863
Pm 2.7385 0.0000 1.9464
Pm 2.7385 0.0000 5.7323
Pm 2.7385 -5.4799 1.8925
Pm 2.7385 -5.4799 5.7863
Tl 0.0000 0.0000 3.8394
Tl 2.7385 2.7459 3.8394
Tl 2.7385 2.5817 0.0000
Tl 2.7385 -2.5817 0.0000
Tl 2.7385 -2.7459 3.8394
```

B.
# LiPm6Tl5

A relaxed structure of LiPm6Tl5 (PBE, Alexandria via LeMat-Bulk).

extended XYZ file:
```
12
Lattice="3.3317 -5.6258 0.0000 3.3317 5.6258 0.0000 -1.9374 0.0000 9.9306" Properties=species:S:1:pos:R:3 pbc="T T T"
Li 0.0000 0.0000 0.0000
Pm 1.2699 1.9363 2.5843
Pm 0.2954 0.0000 7.6245
Pm 1.2699 -1.9363 2.5843
Pm 3.4560 1.9363 7.3463
Pm 4.4306 0.0000 2.3061
Pm 3.4560 -1.9363 7.3463
Tl 2.3630 3.9467 4.9653
Tl 3.3317 2.1969 0.0000
Tl 2.3630 0.0000 4.9653
Tl 3.3317 -2.1969 0.0000
Tl 2.3630 -3.9467 4.9653
```

Which structure is the most stable? The one labeled A.